[1]
This record from Alexandria describes a relaxed structure of BaTaH. The functional is GGA-PBE.

Computed properties:
D(E_F): 10.5 states/eV/cell
raw total energy: -5.190 eV per atom
calculated density: 8.196 g cm⁻³

The structure in POSCAR format:
```
BaTaH
1.0
6.578 0.000 0.000
0.000 3.098 0.000
0.000 0.000 12.699
Ba Ta H
4 4 4
Cartesian
0.644 0.774 1.832 Ba
2.644 2.323 8.181 Ba
3.933 0.774 4.518 Ba
5.933 2.323 10.868 Ba
0.633 0.774 5.404 Ta
2.656 2.323 11.753 Ta
3.922 0.774 0.946 Ta
5.945 2.323 7.295 Ta
0.031 0.774 8.536 H
3.258 2.323 2.186 H
3.320 0.774 10.513 H
6.547 2.323 4.163 H
```

***

[2]
This record from Alexandria describes a relaxed structure of BaTaH. The functional is GGA-PBE.

Computed properties:
D(E_F): 4.6 states/eV/cell
raw total energy: -5.470 eV per atom
calculated density: 7.262 g cm⁻³

The structure in POSCAR format:
```
BaTaH
1.0
3.555 0.000 0.000
0.000 4.042 0.000
-1.768 0.000 10.162
Ba Ta H
2 2 2
Cartesian
0.004 1.011 1.947 Ba
1.783 3.032 8.214 Ba
0.005 1.011 5.485 Ta
1.782 3.032 4.676 Ta
0.004 3.032 5.744 H
1.783 1.011 4.417 H
```

***

[3]
This record from Alexandria describes a relaxed structure of BaTaH. The functional is GGA-PBE.

Computed properties:
D(E_F): 4.5 states/eV/cell
raw total energy: -3.526 eV per atom
calculated density: 4.782 g cm⁻³

The structure in POSCAR format:
```
BaTaH
1.0
0.000 3.813 3.813
3.813 0.000 3.813
3.813 3.813 0.000
Ba Ta H
1 1 1
Cartesian
0.000 0.000 0.000 Ba
1.907 1.907 1.907 Ta
5.720 5.720 5.720 H
```